Record 1
Density functional theory data (SCAN) for Ca2InAg at its PBEsol-relaxed geometry.

abc: 3.654 3.654 7.674
angles: 90.00 90.00 90.00
Sites, in units of the cell vectors:
Ca (0.000, 0.000, 0.736)
Ca (0.000, 0.000, 0.264)
Ag (0.500, 0.500, 0.500)
In (0.500, 0.500, 0.000)

Calculated values
- Space-group type: P4/mmm, No. 123
- Total energy: -21.478 eV/atom
- ρ: 4.91 g/cm3
- ΔH_f (0 K): -458 meV per atom

---

Record 2
Density functional theory data (SCAN) for CaAgIr2 at its PBEsol-relaxed geometry.

abc: 3.187 3.187 7.100
angles: 90.00 90.00 90.00
Last column: magnetic moment on the atom in μB.
Sites, in units of the cell vectors:
Ca (0.500, 0.500, 0.764)  0.00
Ir (0.000, 0.000, 0.049)  0.36
Ir (0.500, 0.500, 0.226)  0.32
Ag (0.000, 0.000, 0.460)  0.00

Calculated values
- Offset from the most stable computed form: 46 meV per atom
- Space-group type: P4mm, No. 99
- Total energy: -45.607 eV/atom
- ρ: 12.26 g/cm3
- ΔH_f (0 K): 201 meV per atom

---

Record 3
Density functional theory data (SCAN) for CaAgIr2 at its PBEsol-relaxed geometry.

abc: 2.868 4.789 5.785
angles: 114.50 104.35 90.00
Last column: magnetic moment on the atom in μB.
Sites, in units of the cell vectors:
Ca (0.257, 0.757, 0.514)  0.00
Ir (0.030, 0.030, 0.060)  0.32
Ir (0.738, 0.238, 0.476)  0.10
Ag (0.475, 0.475, 0.950)  0.01

Calculated values
- Offset from the most stable computed form: 0 meV per atom
- Space-group type: Imm2, No. 44
- Total energy: -45.653 eV/atom
- ρ: 12.71 g/cm3
- ΔH_f (0 K): 154 meV per atom

---

Record 4
Density functional theory data (SCAN) for Ca2AgIr at its PBEsol-relaxed geometry.

abc: 3.368 3.368 7.489
angles: 90.00 90.00 90.00
Sites, in units of the cell vectors:
Ca (0.000, 0.000, 0.778)
Ca (0.000, 0.000, 0.222)
Ir (0.500, 0.500, 0.000)
Ag (0.500, 0.500, 0.500)

Calculated values
- Space-group type: P4/mmm, No. 123
- Total energy: -30.759 eV/atom
- ρ: 7.43 g/cm3
- ΔH_f (0 K): -311 meV per atom

---

Record 5
Density functional theory data (SCAN) for Ca4AgIr at its PBEsol-relaxed geometry.

abc: 5.890 5.890 5.890
angles: 60.00 60.00 60.00
Sites, in units of the cell vectors:
Ag (0.000, 0.000, 0.000)
Ca (0.376, 0.376, 0.376)
Ca (0.376, 0.376, 0.872)
Ca (0.872, 0.376, 0.376)
Ca (0.376, 0.872, 0.376)
Ir (0.750, 0.750, 0.750)

Calculated values
- Space-group type: F-43m, No. 216
- Total energy: -22.757 eV/atom
- ρ: 5.29 g/cm3
- ΔH_f (0 K): 763 meV per atom

---

Record 6
Density functional theory data (SCAN) for Ca2AgIrN at its PBEsol-relaxed geometry.

abc: 4.030 4.742 4.742
angles: 90.00 90.00 90.00
Last column: magnetic moment on the atom in μB.
Sites, in units of the cell vectors:
Ca (0.000, 0.000, 0.500)  -0.01
Ca (0.000, 0.500, 0.000)  -0.01
Ir (0.500, 0.500, 0.500)  0.74
Ag (0.500, 0.000, 0.000)  0.07
N (0.000, 0.000, 0.000)  0.18

Calculated values
- Space-group type: P4/mmm, No. 123
- Total energy: -26.302 eV/atom
- Raw formation energy: -86 meV/atom
- ρ: 7.23 g/cm3

---

Record 7
Density functional theory data (SCAN) for KCaAg3 at its PBEsol-relaxed geometry.

abc: 5.595 5.595 5.595
angles: 90.00 90.00 90.00
Sites, in units of the cell vectors:
Ca (0.000, 0.000, 0.000)
K (0.500, 0.500, 0.500)
Ag (0.000, 0.500, 0.000)
Ag (0.000, 0.000, 0.500)
Ag (0.500, 0.000, 0.000)

Calculated values
- Space-group type: Pm-3m, No. 221
- Total energy: -22.022 eV/atom
- ρ: 3.82 g/cm3
- ΔH_f (0 K): 396 meV per atom

---

Record 8
Density functional theory data (SCAN) for Ca2LaAg at its PBEsol-relaxed geometry.

abc: 5.513 5.513 5.513
angles: 60.00 60.00 60.00
Sites, in units of the cell vectors:
Ca (0.000, 0.000, 0.000)
Ca (0.750, 0.750, 0.750)
Ag (0.500, 0.500, 0.500)
La (0.250, 0.250, 0.250)

Calculated values
- Offset from the most stable computed form: 170 meV per atom
- Space-group type: F-43m, No. 216
- Total energy: -23.414 eV/atom
- ρ: 4.58 g/cm3
- ΔH_f (0 K): 36 meV per atom